## Hg3TeI (PBE-GGA)

Data for an optimized crystal structure of Hg3TeI.

## Properties
Raw formation energy in eV/atom: -0.071
Volume in Å³ per atom: 37.57
ΔE to the lowest computed polymorph in meV per atom: 26.2
Crystal system: trigonal
Space group: R3c, No. 161
Calculated total energy in eV/atom: -1.190
Magnetization in μB per atom: 0.000

a b c (Å): 8.1160 8.1160 8.1160
angles (deg): 59.73 59.73 59.73
Last column: nearest neighbours and their distance in Å.
Atoms (fractional coordinates):
Hg1 0.1490 0.7435 0.3394  2 Te 2.96-2.97, 1 I 3.27
Hg2 0.3394 0.1490 0.7435  2 Te 2.96-2.97, 1 I 3.27
Hg3 0.7435 0.3394 0.1490  2 Te 2.96-2.97, 1 I 3.27
Hg4 0.6490 0.8394 0.2435  2 Te 2.96-2.97, 1 I 3.27
Hg5 0.8394 0.2435 0.6490  2 Te 2.96-2.97, 1 I 3.27
Hg6 0.2435 0.6490 0.8394  2 Te 2.96-2.97, 1 I 3.27
Te1 0.9942 0.9942 0.9942  6 Hg 2.96-2.97
Te2 0.4942 0.4942 0.4942  6 Hg 2.96-2.97
I1 0.7454 0.7454 0.7454  3 Hg 3.27
I2 0.2454 0.2454 0.2454  3 Hg 3.27



## HgTe2I2 (PBE-GGA)

Data for an optimized crystal structure of HgTe2I2.

## Properties
Raw formation energy in eV/atom: 0.176
Volume in Å³ per atom: 38.72
ΔE to the lowest computed polymorph in meV per atom: 20.3
Crystal system: tetragonal
Space group: I4/mmm, No. 139
Calculated total energy in eV/atom: -1.761
Magnetization in μB per atom: 0.000

a b c (Å): 4.1700 4.1700 11.5163
angles (deg): 79.57 79.57 90.00
Last column: nearest neighbours and their distance in Å.
Atoms (fractional coordinates):
I1 0.4189 0.4189 0.1622  4 Hg 3.46, 1 I 3.61
I2 0.5811 0.5811 0.8378  4 Hg 3.46, 1 I 3.61
Te1 0.7500 0.2500 0.5000  4 Te 2.95
Te2 0.2500 0.7500 0.5000  4 Te 2.95
Hg1 0.0000 0.0000 0.0000  8 I 3.46



## Hg3TeI (PBE-GGA)

Data for an optimized crystal structure of Hg3TeI.

## Properties
Raw formation energy in eV/atom: -0.012
Volume in Å³ per atom: 39.03
ΔE to the lowest computed polymorph in meV per atom: 85.1
Crystal system: cubic
Space group: Pm-3m, No. 221
Calculated total energy in eV/atom: -1.131
Magnetization in μB per atom: 0.000

a b c (Å): 5.8006 5.8006 5.8006
angles (deg): 90.00 90.00 90.00
Last column: nearest neighbours and their distance in Å.
Atoms (fractional coordinates):
I1 0.5000 0.5000 0.5000  12 Hg 4.10
Te1 0.0000 0.0000 0.0000  6 Hg 2.90
Hg1 0.0000 0.5000 0.0000  2 Te 2.90
Hg2 0.0000 0.0000 0.5000  2 Te 2.90
Hg3 0.5000 0.0000 0.0000  2 Te 2.90



## HgTe3I (PBE-GGA)

Data for an optimized crystal structure of HgTe3I.

## Properties
Raw formation energy in eV/atom: 0.606
Volume in Å³ per atom: 36.22
ΔE to the lowest computed polymorph in meV per atom: 0.0
Crystal system: cubic
Space group: Pm-3m, No. 221
Calculated total energy in eV/atom: -1.650
Magnetization in μB per atom: 0.000

a b c (Å): 5.6576 5.6576 5.6576
angles (deg): 90.00 90.00 90.00
Last column: nearest neighbours and their distance in Å.
Atoms (fractional coordinates):
I1 0.5000 0.5000 0.5000  12 Te 4.00
Te1 0.0000 0.5000 0.0000  2 Hg 2.83
Te2 0.0000 0.0000 0.5000  2 Hg 2.83
Te3 0.5000 0.0000 0.0000  2 Hg 2.83
Hg1 0.0000 0.0000 0.0000  6 Te 2.83



Question: Among the records above, which one has the highest calculated total energy?
Answer: number 3